Entry 1:
PBE Ac6Mg5Al, optimized geometry; energy of formation = -0.106 eV/atom
1.0
2.8820 -8.6635 0.0000
2.8820 8.6635 0.0000
0.0000 0.0000 8.1872
Ac Mg Al
6 5 1
direct
0.0000 0.0000 0.2396 Ac
0.0000 0.0000 0.7604 Ac
0.3374 0.6626 0.2447 Ac
0.3374 0.6626 0.7553 Ac
0.6626 0.3374 0.2447 Ac
0.6626 0.3374 0.7553 Ac
0.1673 0.8327 0.5000 Mg
0.1713 0.8287 0.0000 Mg
0.5000 0.5000 0.5000 Mg
0.8287 0.1713 0.0000 Mg
0.8327 0.1673 0.5000 Mg
0.5000 0.5000 0.0000 Al


Entry 2:
PBE AcNpIrO6, optimized geometry; formation energy (no corrections) = -2.1087 eV per atom
1.0
5.8565 0.0000 0.0000
-2.9283 5.0719 0.0000
0.0000 0.0000 8.4331
Ac Np Ir O
2 2 2 12
direct
0.3333 0.6667 0.2500 Ac
0.6667 0.3333 0.7500 Ac
0.3333 0.6667 0.7500 Np
0.6667 0.3333 0.2500 Np
0.0000 0.0000 0.0000 Ir
0.0000 0.0000 0.5000 Ir
0.0592 0.3405 0.6155 O
0.0592 0.7187 0.8845 O
0.2813 0.3405 0.8845 O
0.2813 0.9408 0.6155 O
0.3405 0.0592 0.1155 O
0.3405 0.2813 0.3845 O
0.6595 0.7187 0.6155 O
0.6595 0.9408 0.8845 O
0.7187 0.0592 0.3845 O
0.7187 0.6595 0.1155 O
0.9408 0.2813 0.1155 O
0.9408 0.6595 0.3845 O


Entry 3:
PBE HfBeRe, optimized geometry; energy relative to the lowest polymorph listed for this composition = 178.7 meV/atom; energy of formation = -0.138 eV/atom
1.0
1.6606 -7.8249 0.0000
1.6606 7.8249 0.0000
0.0000 0.0000 3.3937
Hf Be Re
2 2 2
direct
0.0980 0.9020 0.7500 Hf
0.9020 0.0980 0.2500 Hf
0.4606 0.5394 0.7500 Be
0.5394 0.4606 0.2500 Be
0.2952 0.7048 0.7500 Re
0.7048 0.2952 0.2500 Re


What are the uncorrected energy values for these records? In order: -0.2305 -0.6095 -0.6502 Ry per atom.